1.
Entry from the Alexandria database: a relaxed Nd5Ag4Hg crystal (PBE).

Its magnetization is 0.033 μB/atom. Its formation energy is -3.0 eV/f.u.

The space group is P4/mmm (No. 123) and the conventional cell measures 3.770, 3.770 and 18.906 Å, with angles of 90.00, 90.00 and 90.00 degrees. Symmetry generates all atoms from Nd at (0.000, 0.000, 0.000), Nd at (0.000, 0.000, 0.199), Nd at (0.000, 0.000, 0.397), Ag at (0.500, 0.500, 0.099), Ag at (0.500, 0.500, 0.296) and Hg at (0.500, 0.500, 0.500).

***

2.
Entry from the Alexandria database: a relaxed NdAgHg4 crystal (PBE).

Its magnetization is 0.000 μB/atom. Its offset from the most stable computed form is 0 meV per atom. Its formation energy is -1.2 eV/f.u.

The space group is Cmc2_1 (No. 36) and the conventional cell measures 5.053, 16.034 and 7.269 Å, with angles of 90.00, 90.00 and 90.00 degrees. Symmetry generates all atoms from Nd at (0.000, 0.172, 0.000), Ag at (0.000, 0.345, 0.209), Hg at (0.000, 0.018, 0.693), Hg at (0.000, 0.199, 0.512), Hg at (0.000, 0.351, 0.798) and Hg at (0.000, 0.474, 0.479).

***

3.
Entry from the Alexandria database: a relaxed Nd2AgHg5 crystal (PBE).

Its magnetization is 0.000 μB/atom. Its offset from the most stable computed form is 35 meV per atom. Its formation energy is -1.7 eV/f.u.

The space group is R-3m (No. 166, hexagonal axes) and the conventional cell measures 4.7936, 4.7936 and 33.2099 Å, with angles of 90.00, 90.00 and 120.00 degrees. Symmetry generates all atoms from Nd at (0.0000, 0.0000, 0.0937), Ag at (0.0000, 0.0000, 0.0000), Hg at (0.0000, 0.0000, 0.1995), Hg at (0.0000, 0.0000, 0.3696) and Hg at (0.0000, 0.0000, 0.5000).

***

4.
Entry from the Alexandria database: a relaxed Nd3Ag3Hg2 crystal (PBE).

Its magnetization is 0.000 μB/atom. Its offset from the most stable computed form is 26 meV per atom. Its formation energy is -2.2 eV/f.u.

The space group is P-62m (No. 189) and the conventional cell measures 7.6161, 7.6161 and 4.1633 Å, with angles of 90.00, 90.00 and 120.00 degrees. Symmetry generates all atoms from Nd at (0.0000, 0.6297, 0.0000), Ag at (0.0000, 0.2274, 0.5000) and Hg at (0.3333, 0.6667, 0.5000).

***

5.
Entry from the Alexandria database: a relaxed Nd2AgHg2 crystal (PBE).

Its magnetization is 0.000 μB/atom. Its offset from the most stable computed form is 0 meV per atom. Its formation energy is -1.8 eV/f.u.

The space group is C2/m (No. 12) and the conventional cell measures 11.146, 4.790 and 10.875 Å, with angles of 90.00, 112.48 and 90.00 degrees. Symmetry generates all atoms from Nd at (0.026, 0.000, 0.345), Nd at (0.179, 0.000, 0.104), Ag at (0.222, 0.500, 0.328), Hg at (0.036, 0.500, 0.880) and Hg at (0.142, 0.500, 0.579).

***

6.
Entry from the Alexandria database: a relaxed NdAgHg4 crystal (PBE).

Its magnetization is 0.000 μB/atom. Its offset from the most stable computed form is 172 meV per atom. Its formation energy is -0.2 eV/f.u.

The space group is F-43m (No. 216) and the conventional cell measures 8.403, 8.403 and 8.403 Å, with angles of 90.00, 90.00 and 90.00 degrees. Symmetry generates all atoms from Nd at (0.000, 0.000, 0.000), Ag at (0.250, 0.250, 0.750) and Hg at (0.125, 0.125, 0.375).